Computed, not measured: a relaxed Li2Cu2Rh crystal at the PBE level of DFT.

CIF file:
```
data_Li2Cu2Rh
_chemical_formula_sum 'Li4 Cu4 Rh2'
_cell_length_a 4.2548
_cell_length_b 4.2548
_cell_length_c 6.9718
_cell_angle_alpha 90.00
_cell_angle_beta 90.00
_cell_angle_gamma 90.00
_symmetry_space_group_name_H-M 'I 4/m m m'
_symmetry_Int_Tables_number 139
_symmetry_space_group_name_Hall '-I 4 2'
loop_
_atom_site_label
_atom_site_type_symbol
_atom_site_fract_x
_atom_site_fract_y
_atom_site_fract_z
_atom_site_occupancy
Li1 Li 0.0000 0.0000 0.1371 1
Cu1 Cu 0.0000 0.5000 0.2500 1
Rh1 Rh 0.0000 0.0000 0.5000 1
```

Properties
E above lowest polymorph = 307 meV per atom
formation enthalpy at 0 K = 109 kJ/mol of formula units
total energy = -3.649 eV/atom
total magnetization = 0.00 μB per formula unit